Entry 1:
Ba2In3Hg4Ge: relaxed, GGA-PBE.

Properties
- crystal system = tetragonal

a = 4.991 Å, b = 4.991 Å, c = 11.832 Å
α = 90.00°, β = 90.00°, γ = 90.00°
Fractional positions:
Ba  0.500  0.000  0.254
Ba  0.000  0.500  0.746
In  0.000  0.000  0.500
In  0.500  0.000  0.868
In  0.000  0.500  0.132
Hg  0.500  0.500  0.000
Hg  0.000  0.000  0.000
Hg  0.500  0.000  0.627
Hg  0.000  0.500  0.373
Ge  0.500  0.500  0.500

=====

Entry 2:
Fe3Re: relaxed, GGA-PBE.

Properties
- crystal system = orthorhombic

a = 2.576 Å, b = 4.069 Å, c = 4.461 Å
α = 90.00°, β = 90.00°, γ = 90.00°
Last column: magnetic moment on the atom in μB.
Fractional positions:
Re  0.000  0.500  0.331  -0.07
Fe  0.000  0.000  0.986  -1.12
Fe  0.500  0.000  0.515  0.66
Fe  0.500  0.500  0.835  0.86

=====

Entry 3:
VHgS2: relaxed, GGA-PBE.

Properties
- crystal system = tetragonal
- formation energy from raw total energies (eV/atom) = -0.290

a = 5.221 Å, b = 5.221 Å, c = 6.857 Å
α = 67.62°, β = 67.62°, γ = 90.00°
Last column: magnetic moment on the atom in μB.
Fractional positions:
S  0.713  0.713  0.574  -0.07
S  0.037  0.537  0.926  -0.07
S  0.287  0.287  0.426  -0.07
S  0.463  0.963  0.074  -0.07
Hg  0.000  0.000  0.000  0.04
Hg  0.750  0.250  0.500  0.04
V  0.500  0.500  0.000  2.32
V  0.250  0.750  0.500  2.32

=====

Entry 4:
Pm2SiNi6B: relaxed, GGA-PBE.

Properties
- crystal system = trigonal
- formation energy from raw total energies (eV/atom) = -0.485

a = 5.471 Å, b = 6.453 Å, c = 6.455 Å
α = 50.12°, β = 64.92°, γ = 90.01°
Fractional positions:
Pm  0.720  0.279  0.560
Pm  0.280  0.721  0.440
Si  0.000  0.000  0.000
Ni  0.263  0.196  0.475
Ni  0.805  0.737  0.933
Ni  0.262  0.737  0.933
Ni  0.738  0.263  0.067
Ni  0.195  0.263  0.067
Ni  0.737  0.804  0.525
B  0.500  0.500  0.000

=====

Entry 5:
Ac6AgRu2: relaxed, GGA-PBE.

Properties
- crystal system = monoclinic
- distance to the lowest polymorph of the same formula (eV/atom) = 0.000

a = 4.319 Å, b = 7.013 Å, c = 12.329 Å
α = 107.29°, β = 90.00°, γ = 107.94°
Fractional positions:
Ac  0.020  0.040  0.768
Ac  0.668  0.336  0.079
Ac  0.332  0.664  0.921
Ac  0.694  0.389  0.612
Ac  0.306  0.611  0.388
Ac  0.980  0.960  0.232
Ag  0.000  0.000  0.500
Ru  0.673  0.345  0.832
Ru  0.327  0.655  0.168

=====

Entry 6:
BaHfNb2: relaxed, GGA-PBE.

Properties
- crystal system = tetragonal
- distance to the lowest polymorph of the same formula (eV/atom) = 0.294

a = 5.089 Å, b = 5.089 Å, c = 10.721 Å
α = 76.27°, β = 76.27°, γ = 90.00°
Fractional positions:
Nb  0.875  0.125  0.250
Nb  0.875  0.625  0.250
Nb  0.375  0.125  0.750
Nb  0.875  0.125  0.750
Hf  0.000  0.000  0.000
Hf  0.750  0.250  0.500
Ba  0.500  0.500  0.000
Ba  0.250  0.750  0.500

=====

no.,DFT total energy (eV per atom)
1,-2.1241
2,-9.3953
3,-4.7088
4,-6.1140
5,-5.2794
6,-6.7118